An optimized crystal structure of Sm2TmCuTe5. Source: the Alexandria database, functional PBE.

## Properties
Density (g/cm3): 7.45
Formation energy without anion corrections (meV/atom): -1171

```
Sm2TmCuTe5
1.0
4.2718 0.0000 0.0000
-2.1359 9.4368 0.0000
0.0000 0.0000 12.9496
Tm Te Sm Cu
2 10 4 2
direct
0.1901 0.3802 0.0093
0.8099 0.6198 0.5093
0.4999 0.9998 0.2871
0.3537 0.7075 0.9988
0.5001 0.0002 0.7871
0.7142 0.4284 0.1709
0.2858 0.5716 0.6709
0.9587 0.9173 0.5655
0.6463 0.2925 0.4988
0.6887 0.3774 0.8423
0.0413 0.0827 0.0655
0.3113 0.6226 0.3423
0.8754 0.7508 0.8050
0.1246 0.2492 0.3050
0.1093 0.2185 0.6856
0.8907 0.7815 0.1856
0.4279 0.8559 0.4595
0.5721 0.1441 0.9595
```

An optimized crystal structure of Sm2UCuTe5. Source: the Alexandria database, functional PBE.

## Properties
Density (g/cm3): 7.77
Formation energy without anion corrections (meV/atom): -936

```
Sm2UCuTe5
1.0
-2.8137 2.5222 1.9694
0.0869 -7.9220 5.6597
9.6695 5.2093 7.1431
Te U Cu Sm
10 2 2 4
direct
0.3579 0.7158 0.9999
0.4994 0.9988 0.7868
0.6421 0.2842 0.4999
0.2871 0.5742 0.6757
0.3145 0.6289 0.3390
0.5006 0.0012 0.2868
0.0416 0.0832 0.0659
0.9584 0.9168 0.5659
0.6855 0.3711 0.8390
0.7129 0.4258 0.1757
0.1920 0.3840 0.0087
0.8080 0.6160 0.5087
0.4288 0.8575 0.4578
0.5712 0.1425 0.9578
0.8750 0.7500 0.8060
0.1250 0.2500 0.3060
0.1099 0.2197 0.6842
0.8901 0.7803 0.1842
```

An optimized crystal structure of Sm2ThCu. Source: the Alexandria database, functional PBE.

## Properties
Density (g/cm3): 8.59
Excess energy over the best structure of this formula in the dataset (eV/atom): 0.313

```
Sm2ThCu
1.0
-1.2057 0.4348 3.1995
2.1337 -0.2536 2.6950
2.4681 11.0273 1.2878
Sm Th Cu
2 1 1
direct
0.8975 0.8975 0.3074
0.1025 0.1025 0.6926
0.0000 0.0000 0.0000
0.5000 0.5000 0.5000
```